Record 1
Material: Y2TcAuC
Method: DFT, PBE
State: optimized geometry

a = 4.972 Å, b = 4.972 Å, c = 3.951 Å
α = 90.00°, β = 90.00°, γ = 90.00°
Element x y z (fractional)
Y  0.000  0.500  0.000
Y  0.500  0.000  0.000
Tc  0.000  0.000  0.500
Au  0.500  0.500  0.500
C  0.000  0.000  0.000

* total energy: -7.61 eV/atom


Record 2
Material: YPa3Tl4O12
Method: DFT, PBE
State: optimized geometry

a = 7.639 Å, b = 7.639 Å, c = 7.639 Å
α = 109.47°, β = 109.47°, γ = 109.47°
Element x y z (fractional)
Y  0.000  0.000  0.000
Pa  0.000  0.500  0.500
Pa  0.500  0.000  0.500
Pa  0.500  0.500  0.000
Tl  0.000  0.000  0.500
Tl  0.000  0.500  0.000
Tl  0.500  0.000  0.000
Tl  0.500  0.500  0.500
O  0.000  0.259  0.259
O  0.000  0.741  0.741
O  0.250  0.500  0.750
O  0.250  0.750  0.500
O  0.259  0.000  0.259
O  0.259  0.259  0.000
O  0.500  0.250  0.750
O  0.500  0.750  0.250
O  0.741  0.000  0.741
O  0.741  0.741  0.000
O  0.750  0.250  0.500
O  0.750  0.500  0.250

* formation energy from raw total energies: -2.48 eV/atom


Record 3
Material: TbTcGe2Ir
Method: DFT, PBE
State: optimized geometry

a = 5.834 Å, b = 5.834 Å, c = 5.834 Å
α = 136.92°, β = 136.92°, γ = 62.57°
Element x y z (fractional)
Tb  0.000  0.000  0.000
Tc  0.750  0.250  0.500
Ge  0.372  0.372  0.000
Ge  0.628  0.628  0.000
Ir  0.250  0.750  0.500

* total energy: -7.24 eV/atom


Record 4
Material: LiPdPb2
Method: DFT, PBE
State: optimized geometry

a = 3.491 Å, b = 3.491 Å, c = 7.189 Å
α = 90.00°, β = 90.00°, γ = 90.00°
Element x y z (fractional)
Li  0.000  0.000  0.000
Pd  0.000  0.000  0.500
Pb  0.500  0.500  0.268
Pb  0.500  0.500  0.732

* total energy: -3.88 eV/atom


Record 5
Material: MgZr2Cl
Method: DFT, PBE
State: optimized geometry

a = 9.902 Å, b = 9.902 Å, c = 9.902 Å
α = 18.39°, β = 18.39°, γ = 18.39°
Element x y z (fractional)
Mg  0.000  0.000  0.000
Zr  0.242  0.242  0.242
Zr  0.758  0.758  0.758
Cl  0.500  0.500  0.500

* formation energy from raw total energies: -0.32 eV/atom


Record 6
Material: Pm3Tm4Ag
Method: DFT, PBE
State: optimized geometry

a = 3.560 Å, b = 3.560 Å, c = 18.922 Å
α = 90.00°, β = 90.00°, γ = 90.00°
Element x y z (fractional)
Pm  0.000  0.000  0.000
Pm  0.000  0.000  0.267
Pm  0.000  0.000  0.733
Tm  0.500  0.500  0.134
Tm  0.500  0.500  0.403
Tm  0.500  0.500  0.597
Tm  0.500  0.500  0.866
Ag  0.000  0.000  0.500

* total energy: -4.44 eV/atom


Record 7
Material: LiS8I2
Method: DFT, PBE
State: optimized geometry

a = 7.877 Å, b = 7.877 Å, c = 8.562 Å
α = 116.78°, β = 116.78°, γ = 46.05°
Element x y z (fractional)
Li  0.000  0.000  0.000
S  0.184  0.665  0.143
S  0.316  0.316  0.971
S  0.335  0.816  0.857
S  0.458  0.458  0.722
S  0.542  0.542  0.278
S  0.665  0.184  0.143
S  0.684  0.684  0.029
S  0.816  0.335  0.857
I  0.124  0.124  0.383
I  0.876  0.876  0.617

* formation energy from raw total energies: 0.02 eV/atom


Record 8
Material: B3PC
Method: DFT, PBE
State: optimized geometry

a = 3.886 Å, b = 2.873 Å, c = 4.516 Å
α = 90.00°, β = 106.49°, γ = 90.00°
Element x y z (fractional)
B  0.000  0.000  0.000
B  0.106  0.500  0.722
B  0.780  0.000  0.627
P  0.462  0.500  0.493
C  0.171  0.500  0.105

* total energy: -6.50 eV/atom


Record 9
Material: BaHf
Method: DFT, PBE
State: optimized geometry

a = 4.803 Å, b = 4.803 Å, c = 4.803 Å
α = 60.00°, β = 60.00°, γ = 60.00°
Element x y z (fractional)
Ba  0.000  0.000  0.000
Hf  0.500  0.500  0.500

* total energy: -4.27 eV/atom


Record 10
Material: RbRhSe2
Method: DFT, PBE
State: optimized geometry

a = 6.905 Å, b = 3.795 Å, c = 18.127 Å
α = 90.00°, β = 90.00°, γ = 90.00°
Element x y z (fractional)
Rb  0.088  0.250  0.145
Rb  0.412  0.750  0.645
Rb  0.588  0.250  0.355
Rb  0.912  0.750  0.855
Rh  0.115  0.750  0.422
Rh  0.385  0.250  0.922
Rh  0.615  0.750  0.078
Rh  0.885  0.250  0.578
Se  0.080  0.250  0.336
Se  0.196  0.250  0.507
Se  0.304  0.750  0.007
Se  0.420  0.750  0.836
Se  0.580  0.250  0.164
Se  0.696  0.250  0.993
Se  0.804  0.750  0.493
Se  0.920  0.750  0.664

* formation energy from raw total energies: -0.58 eV/atom


Record 11
Material: Mg2CuW
Method: DFT, PBE
State: optimized geometry

a = 5.039 Å, b = 5.039 Å, c = 5.039 Å
α = 133.74°, β = 133.74°, γ = 67.49°
Element x y z (fractional)
Mg  0.250  0.750  0.500
Mg  0.750  0.250  0.500
Cu  0.000  0.000  0.000
W  0.500  0.500  0.000

* total energy: -4.45 eV/atom